Entry 1:
# PBE Pm3ErPd12, relaxed
# crystal system: tetragonal
# E_form: -819 meV/atom
# calculated total energy: -94.22 eV/cell
# density: 10.80 g cm⁻³
data_Pm3ErPd12
_chemical_formula_sum 'Pm3 Er1 Pd12'
_cell_length_a 4.1589
_cell_length_b 4.1589
_cell_length_c 16.7127
_cell_angle_alpha 90.00
_cell_angle_beta 90.00
_cell_angle_gamma 90.00
_symmetry_space_group_name_H-M 'P 4/m m m'
_symmetry_Int_Tables_number 123
_symmetry_space_group_name_Hall '-P 4 2'
loop_
_atom_site_label
_atom_site_type_symbol
_atom_site_fract_x
_atom_site_fract_y
_atom_site_fract_z
Pm1 Pm 0.0000 0.0000 0.0000
Pm2 Pm 0.0000 0.0000 0.2533
Er1 Er 0.0000 0.0000 0.5000
Pd1 Pd 0.0000 0.5000 0.1262
Pd2 Pd 0.0000 0.5000 0.3794
Pd3 Pd 0.5000 0.5000 0.0000
Pd4 Pd 0.5000 0.5000 0.2523
Pd5 Pd 0.5000 0.5000 0.5000

Entry 2:
# PBE Pm2Er3Pd2, relaxed
# crystal system: monoclinic
# E_form: -531 meV/atom
# calculated total energy: -74.58 eV/cell
# energy above the lowest structure with this stoichiometry: 0 meV/atom
# density: 8.88 g cm⁻³
data_Pm2Er3Pd2
_chemical_formula_sum 'Pm4 Er6 Pd4'
_cell_length_a 12.5554
_cell_length_b 3.7114
_cell_length_c 9.1093
_cell_angle_alpha 90.00
_cell_angle_beta 117.74
_cell_angle_gamma 90.00
_symmetry_space_group_name_H-M 'C 1 2/m 1'
_symmetry_Int_Tables_number 12
_symmetry_space_group_name_Hall '-C 2y'
loop_
_atom_site_label
_atom_site_type_symbol
_atom_site_fract_x
_atom_site_fract_y
_atom_site_fract_z
Pm1 Pm 0.1544 0.0000 0.3131
Er1 Er 0.0000 0.5000 0.5000
Er2 Er 0.1151 0.5000 0.9418
Pd1 Pd 0.1648 0.0000 0.7397

Entry 3:
# PBE PmErPd4, relaxed
# crystal system: monoclinic
# E_form: -744 meV/atom
# calculated total energy: -69.10 eV/cell
# energy above the lowest structure with this stoichiometry: 54 meV/atom
# density: 10.39 g cm⁻³
data_PmErPd4
_chemical_formula_sum 'Pm2 Er2 Pd8'
_cell_length_a 9.7400
_cell_length_b 3.6634
_cell_length_c 7.0797
_cell_angle_alpha 90.00
_cell_angle_beta 110.94
_cell_angle_gamma 90.00
_symmetry_space_group_name_H-M 'C 1 2/m 1'
_symmetry_Int_Tables_number 12
_symmetry_space_group_name_Hall '-C 2y'
loop_
_atom_site_label
_atom_site_type_symbol
_atom_site_fract_x
_atom_site_fract_y
_atom_site_fract_z
Pm1 Pm 0.0000 0.0000 0.0000
Er1 Er 0.0000 0.0000 0.5000
Pd1 Pd 0.1662 0.5000 0.3437
Pd2 Pd 0.1682 0.5000 0.8214